[1]
ReSI2 after structural relaxation. Source: Alexandria, functional PBE-GGA.

Formation energy (no corrections), eV/atom: 1.12
Total magnetization, Bohr magnetons per cell: 0.00
Offset from the most stable computed form, eV/f.u.: 0.00
Total energy, eV/cell: -30.4

Unit cell a=7.133 b=7.133 c=6.862 alpha=58.68 beta=58.68 gamma=90.00
Element x y z (fractional)
1 I 0.673 0.125 0.250
2 I 0.077 0.625 0.250
3 I 0.375 0.327 0.750
4 I 0.875 0.923 0.750
5 Re 0.000 0.000 0.000
6 Re 0.750 0.250 0.500
7 S 0.500 0.500 0.000
8 S 0.250 0.750 0.500



[2]
CoAsP2 after structural relaxation. Source: Alexandria, functional PBE-GGA.

Total magnetization, Bohr magnetons per cell: 0.00
Total energy, eV/cell: -22.3
Energy relative to the elements, meV/atom: 77

Unit cell a=3.418 b=3.418 c=6.103 alpha=73.51 beta=73.51 gamma=60.11
Element x y z (fractional)
1 As 0.250 0.250 0.250
2 Co 0.750 0.750 0.750
3 P 0.012 0.012 0.961
4 P 0.488 0.488 0.539



[3]
CsFe2CuI8 after structural relaxation. Source: Alexandria, functional PBE-GGA.

Formation energy (no corrections), eV/atom: -0.38
Total magnetization, Bohr magnetons per cell: 10.06
Total energy, eV/cell: -38.8

Unit cell a=7.181 b=7.181 c=11.074 alpha=81.87 beta=81.87 gamma=69.82
Element x y z (fractional)
1 Cs 0.000 0.000 0.500
2 Fe 0.611 0.611 0.207
3 Fe 0.389 0.389 0.793
4 Cu 0.000 0.000 0.000
5 I 0.769 0.269 0.804
6 I 0.768 0.768 0.015
7 I 0.682 0.682 0.412
8 I 0.318 0.318 0.588
9 I 0.232 0.232 0.985
10 I 0.269 0.769 0.804
11 I 0.731 0.231 0.196
12 I 0.231 0.731 0.196



[4]
VMoOs2N after structural relaxation. Source: Alexandria, functional PBE-GGA.

Formation energy (no corrections), eV/atom: 2.77
Total magnetization, Bohr magnetons per cell: 0.50
Total energy, eV/cell: -36.9

Unit cell a=4.452 b=4.556 c=4.452 alpha=90.00 beta=90.00 gamma=90.00
Element x y z (fractional)
1 Mo 0.000 0.500 0.000
2 N 0.500 0.500 0.500
3 Os 0.000 0.000 0.500
4 Os 0.500 0.000 0.000
5 V 0.000 0.000 0.000